1.
First-principles (GGA-PBE) data for crystalline CoTeOsN2 at its relaxed geometry, as listed in Alexandria.

extended XYZ file:
```
5
Lattice="3.637 0.000 0.000 0.000 5.909 0.000 0.000 0.000 3.637" Properties=species:S:1:pos:R:3 pbc="T T T"
Co 0.000 0.000 0.000
Te 0.000 2.954 0.000
Os 1.819 2.954 1.819
N 0.000 0.000 1.819
N 1.819 0.000 0.000
```

Output
N(E_F)	4.7	states/eV/cell
crystal system	tetragonal

2.
First-principles (GGA-PBE) data for crystalline CoTeOsN2 at its relaxed geometry, as listed in Alexandria.

extended XYZ file:
```
5
Lattice="3.771 0.000 0.000 0.000 3.771 0.000 0.000 0.000 5.903" Properties=species:S:1:pos:R:3 pbc="T T T"
Co 1.885 1.885 2.952
Te 0.000 0.000 2.952
Os 0.000 0.000 0.000
N 0.000 1.885 0.000
N 1.885 0.000 0.000
```

Output
N(E_F)	4.4	states/eV/cell
crystal system	tetragonal

Result of the stability comparison: 2 is the most stable of them.

1.
First-principles (GGA-PBE) data for crystalline CoTe2OsN at its relaxed geometry, as listed in Alexandria.

extended XYZ file:
```
5
Lattice="5.412 0.000 0.000 0.000 5.412 0.000 0.000 0.000 3.642" Properties=species:S:1:pos:R:3 pbc="T T T"
Co 2.706 2.706 1.821
Te 0.000 2.706 0.000
Te 2.706 0.000 0.000
Os 0.000 0.000 0.000
N 0.000 0.000 1.821
```

Output
N(E_F)	5.8	states/eV/cell
crystal system	tetragonal

2.
First-principles (GGA-PBE) data for crystalline CoTe2OsN at its relaxed geometry, as listed in Alexandria.

extended XYZ file:
```
5
Lattice="-2.906 -4.178 0.196 3.989 -2.841 -1.398 0.819 -0.420 3.193" Properties=species:S:1:pos:R:3 pbc="T T T"
Co 0.000 0.000 0.000
Te 1.995 -1.420 -0.699
Te -1.453 -2.089 0.098
Os 0.951 -3.719 0.996
N 0.410 -0.210 1.596
```

Output
N(E_F)	5.5	states/eV/cell
crystal system	tetragonal

Result of the stability comparison: 1 is the most stable of them.

1.
First-principles (GGA-PBE) data for crystalline CoP3N at its relaxed geometry, as listed in Alexandria.

extended XYZ file:
```
5
Lattice="4.242 0.000 0.000 0.000 4.242 0.000 0.000 0.000 4.242" Properties=species:S:1:pos:R:3 pbc="T T T"
P 0.000 2.121 0.000
P 0.000 0.000 2.121
P 2.121 0.000 0.000
Co 0.000 0.000 0.000
N 2.121 2.121 2.121
```

Output
N(E_F)	4.7	states/eV/cell
crystal system	cubic

2.
First-principles (GGA-PBE) data for crystalline CoP3N at its relaxed geometry, as listed in Alexandria.

extended XYZ file:
```
5
Lattice="-3.348 1.413 1.487 -0.039 -2.890 2.658 2.051 2.251 2.478" Properties=species:S:1:pos:R:3 pbc="T T T"
P -0.020 -1.445 1.329
P 1.026 1.126 1.239
P -1.674 0.707 0.744
Co -0.668 0.387 3.312
N 0.000 0.000 0.000
```

Output
N(E_F)	2.7	states/eV/cell
crystal system	cubic

Result of the stability comparison: 2 is the most stable of them.

1.
First-principles (GGA-PBE) data for crystalline CoPSN at its relaxed geometry, as listed in Alexandria.

extended XYZ file:
```
4
Lattice="-2.087 -0.979 1.548 2.292 -2.561 -1.020 3.555 1.545 5.569" Properties=species:S:1:pos:R:3 pbc="T T T"
Co 3.208 -1.233 3.381
P 2.213 -0.175 5.200
S 1.757 0.423 2.473
N 3.872 -0.041 5.030
```

Output
N(E_F)	2.3	states/eV/cell
crystal system	triclinic

2.
First-principles (GGA-PBE) data for crystalline CoPSN at its relaxed geometry, as listed in Alexandria.

extended XYZ file:
```
4
Lattice="-0.995 2.740 -1.964 -3.190 -1.606 0.645 1.046 3.145 3.612" Properties=species:S:1:pos:R:3 pbc="T T T"
Co -0.908 1.690 2.551
P -0.841 3.947 2.538
S -1.155 2.297 0.259
N 0.504 3.035 2.323
```

Output
N(E_F)	1.8	states/eV/cell
crystal system	triclinic

3.
First-principles (GGA-PBE) data for crystalline CoPSN at its relaxed geometry, as listed in Alexandria.

extended XYZ file:
```
8
Lattice="-0.937 -0.052 5.933 1.258 -2.361 0.178 6.196 3.219 -1.080" Properties=species:S:1:pos:R:3 pbc="T T T"
Co 4.214 2.369 1.656
Co 1.744 -0.421 2.285
P 1.186 1.046 5.505
P 4.912 1.474 5.054
S -0.104 0.218 3.624
S 3.623 0.646 3.173
N 1.431 0.840 1.029
N 5.158 1.268 0.578
```

Output
N(E_F)	2.8	states/eV/cell
crystal system	monoclinic

Result of the stability comparison: 1 is the most stable of them.

1.
First-principles (GGA-PBE) data for crystalline CoPSN at its relaxed geometry, as listed in Alexandria.

extended XYZ file:
```
8
Lattice="5.064 0.000 -0.016 0.000 2.773 0.000 -1.383 0.000 6.973" Properties=species:S:1:pos:R:3 pbc="T T T"
Co 1.741 0.000 6.485
Co 2.432 1.386 2.998
P 4.458 0.000 1.230
P 3.767 1.386 4.717
S 1.667 0.000 1.273
S 0.976 1.386 4.760
N 3.530 0.000 5.657
N 4.221 1.386 2.171
```

Output
N(E_F)	3.4	states/eV/cell
crystal system	monoclinic

2.
First-principles (GGA-PBE) data for crystalline CoPSN at its relaxed geometry, as listed in Alexandria.

extended XYZ file:
```
4
Lattice="-3.012 1.371 0.591 0.658 -0.683 -4.619 -1.915 -4.832 1.172" Properties=species:S:1:pos:R:3 pbc="T T T"
Co -2.260 -3.171 -1.463
P -1.282 -4.493 -2.972
S -3.279 -1.236 -1.586
N -2.288 -3.918 0.125
```

Output
N(E_F)	2.0	states/eV/cell
crystal system	triclinic

3.
First-principles (GGA-PBE) data for crystalline CoPSN at its relaxed geometry, as listed in Alexandria.

extended XYZ file:
```
8
Lattice="5.733 0.000 -0.027 0.000 3.042 0.000 -4.238 0.000 7.091" Properties=species:S:1:pos:R:3 pbc="T T T"
Co 0.490 0.000 6.545
Co 2.609 1.521 3.000
P -0.833 0.000 1.620
P -2.952 1.521 5.166
S -1.682 0.000 6.038
S 0.437 1.521 2.493
N 3.507 0.000 2.466
N 1.388 1.521 6.012
```

Output
N(E_F)	3.5	states/eV/cell
crystal system	monoclinic

4.
First-principles (GGA-PBE) data for crystalline CoPSN at its relaxed geometry, as listed in Alexandria.

extended XYZ file:
```
8
Lattice="5.275 0.000 -0.021 0.000 4.429 0.000 -0.678 0.000 4.404" Properties=species:S:1:pos:R:3 pbc="T T T"
Co 3.418 0.000 0.450
Co 3.079 2.214 2.652
P 3.736 0.000 2.731
P 4.075 2.214 0.529
S 1.328 0.000 0.171
S 0.989 2.214 2.373
N 0.153 0.000 3.057
N 0.492 2.214 0.855
```

Output
N(E_F)	4.0	states/eV/cell
crystal system	monoclinic

Result of the stability comparison: 1 is the most stable of them.

1.
First-principles (GGA-PBE) data for crystalline CoPSeN2 at its relaxed geometry, as listed in Alexandria.

extended XYZ file:
```
5
Lattice="-1.703 -1.590 2.595 0.569 -3.088 -1.519 6.608 -0.703 3.905" Properties=species:S:1:pos:R:3 pbc="T T T"
P 2.737 -2.691 2.491
Co 0.000 0.000 0.000
Se 3.304 -0.352 1.953
N 0.285 -1.544 -0.759
N -0.852 -0.795 1.298
```

Output
N(E_F)	4.1	states/eV/cell
crystal system	tetragonal

2.
First-principles (GGA-PBE) data for crystalline CoPSeN2 at its relaxed geometry, as listed in Alexandria.

extended XYZ file:
```
5
Lattice="3.322 0.000 0.000 0.000 3.322 0.000 0.000 0.000 6.687" Properties=species:S:1:pos:R:3 pbc="T T T"
P 0.000 0.000 0.000
Co 1.661 1.661 3.343
Se 0.000 0.000 3.343
N 0.000 1.661 0.000
N 1.661 0.000 0.000
```

Output
N(E_F)	5.3	states/eV/cell
crystal system	tetragonal

Result of the stability comparison: 2 is the most stable of them.

1.
First-principles (GGA-PBE) data for crystalline CoPSe2N at its relaxed geometry, as listed in Alexandria.

extended XYZ file:
```
5
Lattice="-1.721 -0.807 -4.489 4.560 -0.428 -1.672 -0.081 -3.315 0.627" Properties=species:S:1:pos:R:3 pbc="T T T"
P 1.379 -2.275 -2.767
Co 0.000 0.000 0.000
Se 2.280 -0.214 -0.836
Se -0.861 -0.404 -2.245
N -0.040 -1.658 0.314
```

Output
N(E_F)	2.2	states/eV/cell
crystal system	tetragonal

2.
First-principles (GGA-PBE) data for crystalline CoPSe2N at its relaxed geometry, as listed in Alexandria.

extended XYZ file:
```
5
Lattice="4.995 0.000 0.000 0.000 4.995 0.000 0.000 0.000 3.193" Properties=species:S:1:pos:R:3 pbc="T T T"
P 0.000 0.000 0.000
Co 2.497 2.497 1.597
Se 0.000 2.497 0.000
Se 2.497 0.000 0.000
N 0.000 0.000 1.597
```

Output
N(E_F)	5.7	states/eV/cell
crystal system	tetragonal

Result of the stability comparison: 1 is the most stable of them.

1.
First-principles (GGA-PBE) data for crystalline Pa2CoN at its relaxed geometry, as listed in Alexandria.

extended XYZ file:
```
4
Lattice="3.535 0.000 0.000 1.768 3.062 0.000 1.768 1.021 6.499" Properties=species:S:1:pos:R:3 pbc="T T T"
Pa 1.768 1.021 4.726
Pa 1.768 1.021 1.666
Co 5.303 3.062 6.451
N 3.535 2.041 3.406
```

Output
N(E_F)	3.5	states/eV/cell
crystal system	trigonal

2.
First-principles (GGA-PBE) data for crystalline Pa2CoN at its relaxed geometry, as listed in Alexandria.

extended XYZ file:
```
4
Lattice="3.184 0.000 0.000 1.592 2.757 0.000 1.592 0.919 7.858" Properties=species:S:1:pos:R:3 pbc="T T T"
Pa 1.592 0.919 5.504
Pa 4.776 2.757 2.354
Co 0.000 0.000 0.000
N 3.184 1.838 3.929
```

Output
N(E_F)	4.4	states/eV/cell
crystal system	trigonal

Result of the stability comparison: 1 is the most stable of them.

1.
First-principles (GGA-PBE) data for crystalline Co2PbN at its relaxed geometry, as listed in Alexandria.

extended XYZ file:
```
4
Lattice="0.000 2.999 2.999 2.999 0.000 2.999 2.999 2.999 0.000" Properties=species:S:1:pos:R:3 pbc="T T T"
Pb 2.999 2.999 2.999
Co 1.499 1.499 1.499
Co 4.498 4.498 4.498
N 0.000 0.000 0.000
```

Output
N(E_F)	4.0	states/eV/cell
crystal system	cubic

2.
First-principles (GGA-PBE) data for crystalline Co2PbN at its relaxed geometry, as listed in Alexandria.

extended XYZ file:
```
8
Lattice="-0.747 4.726 -2.083 -4.171 -1.793 -2.573 -5.070 2.579 1.132" Properties=species:S:1:pos:R:3 pbc="T T T"
Pb 0.000 0.000 0.000
Pb -4.138 4.386 -1.639
Co -2.145 2.678 -1.033
Co -4.078 0.812 -1.893
Co -6.262 2.770 -1.277
Co -7.491 4.765 -2.845
N -2.459 1.467 -2.328
N -5.850 1.127 -1.885
```

Output
N(E_F)	11.3	states/eV/cell
crystal system	tetragonal

Result of the stability comparison: 2 is the most stable of them.

1.
First-principles (GGA-PBE) data for crystalline CoPb3N at its relaxed geometry, as listed in Alexandria.

extended XYZ file:
```
5
Lattice="4.953 0.000 0.000 0.000 4.953 0.000 0.000 0.000 4.953" Properties=species:S:1:pos:R:3 pbc="T T T"
Pb 0.000 2.476 0.000
Pb 0.000 0.000 2.476
Pb 2.476 0.000 0.000
Co 0.000 0.000 0.000
N 2.476 2.476 2.476
```

Output
N(E_F)	1.3	states/eV/cell
crystal system	cubic

2.
First-principles (GGA-PBE) data for crystalline CoPb3N at its relaxed geometry, as listed in Alexandria.

extended XYZ file:
```
5
Lattice="-0.097 -4.136 -2.710 0.025 -2.711 4.137 -4.945 0.067 0.074" Properties=species:S:1:pos:R:3 pbc="T T T"
Pb 0.013 -1.356 2.068
Pb -2.473 0.034 0.037
Pb -0.048 -2.068 -1.355
Co -2.508 -3.390 0.750
N 0.000 0.000 0.000
```

Output
N(E_F)	5.1	states/eV/cell
crystal system	cubic

Result of the stability comparison: 2 is the most stable of them.

1.
First-principles (GGA-PBE) data for crystalline CoPdN2 at its relaxed geometry, as listed in Alexandria.

extended XYZ file:
```
4
Lattice="3.112 -1.577 -1.452 0.084 -3.712 -0.707 -0.001 -1.245 -3.569" Properties=species:S:1:pos:R:3 pbc="T T T"
Co 0.000 0.000 0.000
Pd 1.598 -3.267 -2.864
N 0.799 -1.633 -1.432
N 2.396 -4.900 -4.296
```

Output
N(E_F)	3.4	states/eV/cell
crystal system	cubic

2.
First-principles (GGA-PBE) data for crystalline CoPdN2 at its relaxed geometry, as listed in Alexandria.

extended XYZ file:
```
8
Lattice="-1.154 2.603 3.711 -4.258 -1.935 0.032 -1.333 -2.646 4.389" Properties=species:S:1:pos:R:3 pbc="T T T"
Co -2.706 0.334 1.872
Co -4.149 -2.124 3.147
Pd 0.000 0.000 0.000
Pd -2.597 0.145 4.986
N -1.524 0.582 3.219
N -3.202 -1.405 1.783
N -3.260 -1.839 4.697
N -5.505 -1.296 6.566
```

Output
N(E_F)	4.4	states/eV/cell
crystal system	tetragonal

Result of the stability comparison: 2 is the most stable of them.

1.
First-principles (GGA-PBE) data for crystalline CoPd3N at its relaxed geometry, as listed in Alexandria.

extended XYZ file:
```
5
Lattice="4.114 0.000 0.000 0.000 4.114 0.000 0.000 0.000 4.114" Properties=species:S:1:pos:R:3 pbc="T T T"
Co 2.057 2.057 2.057
Pd 0.000 2.057 0.000
Pd 0.000 0.000 2.057
Pd 2.057 0.000 0.000
N 0.000 0.000 0.000
```

Output
N(E_F)	6.1	states/eV/cell
crystal system	cubic

2.
First-principles (GGA-PBE) data for crystalline CoPd3N at its relaxed geometry, as listed in Alexandria.

extended XYZ file:
```
5
Lattice="-1.832 4.061 1.031 -2.801 -0.351 -3.597 -3.116 -2.073 2.628" Properties=species:S:1:pos:R:3 pbc="T T T"
Co 0.000 0.000 0.000
Pd -1.400 -0.175 -1.799
Pd -1.558 -1.036 1.314
Pd -0.916 2.030 0.515
N -3.874 0.819 0.031
```

Output
N(E_F)	12.1	states/eV/cell
crystal system	cubic

Result of the stability comparison: 1 is the most stable of them.